VASP calculation (PBE) on a geometry-optimized SrNi2Pb structure.

DFT formation energy: 0.002 eV/atom
calculated total energy: -4.24 eV per atom
magnetization: 0.00 μB per formula unit
mass density: 8.01 Mg/m³

a = 4.164 Å, b = 4.062 Å, c = 5.465 Å
α = 90.00°, β = 112.35°, γ = 90.00°
Space group Pm (No. 6)
Unique sites:
Sr 0.000 0.000 0.000 x1
Ni 0.286 0.000 0.566 x1
Ni 0.401 0.500 0.804 x1
Pb 0.709 0.500 0.418 x1